The following is a GGA-PBE calculation of a relaxed structure of Zn2SbIr2, from the Alexandria database.

Structure (POSCAR):
```
Zn2SbIr2
1.0
7.335 0.000 0.000
0.000 7.335 0.000
0.000 0.000 3.041
Zn Sb Ir
4 2 4
direct
0.140 0.360 0.000 Zn
0.360 0.860 0.000 Zn
0.640 0.140 0.000 Zn
0.860 0.640 0.000 Zn
0.000 0.000 0.500 Sb
0.500 0.500 0.500 Sb
0.156 0.656 0.500 Ir
0.344 0.156 0.500 Ir
0.656 0.844 0.500 Ir
0.844 0.344 0.500 Ir
```

## Properties
E_form (uncorrected), meV/atom: -19
Density, g/cm³: 12.93
SG: P4/mbm (127)
Final energy, eV/atom: -4.897

The following is a GGA-PBE calculation of a relaxed structure of Zr2SbIr, from the Alexandria database.

Structure (POSCAR):
```
Zr2SbIr
1.0
-1.836 2.188 5.035
1.836 -2.188 5.035
1.836 2.188 -5.035
Zr Sb Ir
2 1 1
direct
0.000 0.000 0.000 Zr
0.731 0.231 0.500 Zr
0.451 0.451 0.000 Sb
0.230 0.730 0.500 Ir
```

## Properties
E_form (uncorrected), meV/atom: -601
Density, g/cm³: 10.19
SG: Imm2 (44)
Final energy, eV/atom: -8.121

Number 1: DOS at the Fermi energy 0.5773 states/eV/atom. Number 2: DOS at the Fermi energy 0.3178 states/eV/atom.